1.
Computed, not measured: crystalline LiTaCuS3 at its relaxed geometry at the GGA-PBE level of DFT.

total magnetization = 0.00 μB/atom
symmetry = Cmcm (63)
total DFT energy (no corrections) = -5.7816 eV/atom

abc: 6.391 6.391 9.408
angles: 90.00 90.00 31.05
Positions (direct):
Ta (0.000, 0.000, 0.500)
Ta (0.000, 0.000, 0.000)
Cu (0.532, 0.532, 0.250)
Cu (0.468, 0.468, 0.750)
S (0.641, 0.641, 0.441)
S (0.359, 0.359, 0.941)
S (0.359, 0.359, 0.559)
S (0.906, 0.906, 0.250)
S (0.094, 0.094, 0.750)
S (0.641, 0.641, 0.059)
Li (0.765, 0.765, 0.750)
Li (0.235, 0.235, 0.250)

***

2.
Computed, not measured: crystalline Sc2Cd at its relaxed geometry at the GGA-PBE level of DFT.

total magnetization = 0.00 μB/atom
symmetry = Fd-3m (227)
ΔE_f = 180.0 meV/atom
total DFT energy (no corrections) = -4.3374 eV/atom

abc: 5.844 5.844 5.844
angles: 60.00 60.00 60.00
Positions (direct):
Sc (0.125, 0.625, 0.625)
Sc (0.625, 0.625, 0.125)
Sc (0.625, 0.625, 0.625)
Sc (0.625, 0.125, 0.625)
Cd (0.000, 0.000, 0.000)
Cd (0.250, 0.250, 0.250)

***

3.
Computed, not measured: crystalline ZrFeSiAu at its relaxed geometry at the GGA-PBE level of DFT.

total magnetization = 0.56 μB/atom
polymorph energy (0 for the lowest one) = 0.0 kJ per mole of atoms
symmetry = F-43m (216)
total DFT energy (no corrections) = -6.5548 eV/atom

abc: 4.538 4.538 4.538
angles: 60.00 60.00 60.00
Positions (direct):
Au (0.500, 0.500, 0.500)
Si (0.000, 0.000, 0.000)
Fe (0.750, 0.750, 0.750)
Zr (0.250, 0.250, 0.250)

***

4.
Computed, not measured: crystalline ZrReNO at its relaxed geometry at the GGA-PBE level of DFT.

total magnetization = 0.00 μB/atom
polymorph energy (0 for the lowest one) = 20.3 kJ per mole of atoms
symmetry = Pmc2_1 (26)
total DFT energy (no corrections) = -9.5438 eV/atom

abc: 3.144 5.676 5.828
angles: 90.00 90.00 90.00
Positions (direct):
N (0.000, 0.605, 0.117)
N (0.000, 0.395, 0.617)
Re (0.000, 0.691, 0.431)
Re (0.000, 0.309, 0.931)
Zr (0.500, 0.869, 0.030)
Zr (0.500, 0.131, 0.530)
O (0.500, 0.216, 0.167)
O (0.500, 0.784, 0.667)

***

5.
Computed, not measured: crystalline LuCuSnSe2S at its relaxed geometry at the GGA-PBE level of DFT.

total magnetization = 0.00 μB/atom
symmetry = Cmcm (63)
total DFT energy (no corrections) = -4.8590 eV/atom

abc: 7.005 7.005 9.986
angles: 90.00 90.00 147.42
Positions (direct):
Sn (0.745, 0.255, 0.750)
Sn (0.255, 0.745, 0.250)
Lu (0.000, 0.000, 0.000)
Lu (0.000, 0.000, 0.500)
S (0.073, 0.927, 0.750)
S (0.927, 0.073, 0.250)
Cu (0.525, 0.475, 0.250)
Cu (0.475, 0.525, 0.750)
Se (0.357, 0.643, 0.939)
Se (0.357, 0.643, 0.561)
Se (0.643, 0.357, 0.439)
Se (0.643, 0.357, 0.061)

***

6.
Computed, not measured: crystalline ErTm3Sc2Sb2Os at its relaxed geometry at the GGA-PBE level of DFT.

total magnetization = 0.00 μB/atom
symmetry = Amm2 (38)
total DFT energy (no corrections) = -6.1953 eV/atom

abc: 4.085 8.003 8.003
angles: 120.45 90.00 90.00
Positions (direct):
Os (0.000, 0.998, 0.998)
Er (0.000, 0.392, 0.392)
Sb (0.500, 0.332, 0.671)
Sb (0.500, 0.671, 0.332)
Tm (0.500, 0.997, 0.239)
Tm (0.500, 0.758, 0.758)
Tm (0.500, 0.239, 0.997)
Sc (0.000, 0.612, 0.000)
Sc (0.000, 0.000, 0.612)

***

7.
Computed, not measured: crystalline PaTlB at its relaxed geometry at the GGA-PBE level of DFT.

total magnetization = 0.27 μB/atom
polymorph energy (0 for the lowest one) = 92.3 kJ per mole of atoms
symmetry = F-43m (216)
total DFT energy (no corrections) = -4.6145 eV/atom

abc: 4.674 4.674 4.674
angles: 60.00 60.00 60.00
Positions (direct):
B (0.250, 0.250, 0.250)
Pa (0.750, 0.750, 0.750)
Tl (0.000, 0.000, 0.000)

***

8.
Computed, not measured: crystalline Zn2In2Si3 at its relaxed geometry at the GGA-PBE level of DFT.

symmetry = R3m (160)
total DFT energy (no corrections) = -3.0470 eV/atom

abc: 7.669 7.669 7.669
angles: 36.18 36.18 36.18
Positions (direct):
Si (0.358, 0.358, 0.358)
Si (0.639, 0.639, 0.639)
Si (0.874, 0.874, 0.874)
In (0.494, 0.494, 0.494)
In (0.016, 0.016, 0.016)
Zn (0.236, 0.236, 0.236)
Zn (0.758, 0.758, 0.758)